(1)
First-principles (PBE-GGA) data for a relaxed structure of Li4InPd4, as listed in Alexandria.

a = 4.064 Å, b = 6.134 Å, c = 6.134 Å
α = 83.70°, β = 70.65°, γ = 70.65°
Atoms (fractional coordinates):
Li (0.679, 0.642, 0.000)
Li (0.321, 0.358, 0.000)
Li (0.679, 0.000, 0.642)
Li (0.321, 0.000, 0.358)
In (0.000, 0.000, 0.000)
Pd (0.670, 0.330, 0.330)
Pd (0.330, 0.670, 0.670)
Pd (0.000, 0.670, 0.330)
Pd (0.000, 0.330, 0.670)

Computed properties:
**E_form**: -0.428 eV/atom
**DOS at the Fermi energy**: 0.362 states/eV/atom

=====

(2)
First-principles (PBE-GGA) data for a relaxed structure of LiInPd4, as listed in Alexandria.

a = 4.803 Å, b = 8.623 Å, c = 4.787 Å
α = 90.00°, β = 73.36°, γ = 90.00°
Atoms (fractional coordinates):
Li (0.500, 0.000, 0.500)
Li (0.000, 0.500, 0.500)
In (0.000, 0.000, 0.000)
In (0.500, 0.500, 0.000)
Pd (0.000, 0.663, 0.000)
Pd (0.500, 0.163, 0.000)
Pd (0.500, 0.335, 0.500)
Pd (0.000, 0.835, 0.500)
Pd (0.000, 0.337, 0.000)
Pd (0.500, 0.837, 0.000)
Pd (0.500, 0.665, 0.500)
Pd (0.000, 0.165, 0.500)

Computed properties:
**Offset from the most stable computed form**: 0.036 eV per atom
**E_form**: -0.406 eV/atom
**DOS at the Fermi energy**: 0.515 states/eV/atom

=====

(3)
First-principles (PBE-GGA) data for a relaxed structure of LiInPd2, as listed in Alexandria.

a = 3.183 Å, b = 3.183 Å, c = 6.243 Å
α = 90.00°, β = 90.00°, γ = 90.00°
Atoms (fractional coordinates):
Li (0.500, 0.500, 0.000)
Pd (0.000, 0.000, 0.767)
Pd (0.000, 0.000, 0.233)
In (0.500, 0.500, 0.500)

Computed properties:
**E_form**: -0.509 eV/atom
**DOS at the Fermi energy**: 0.320 states/eV/atom

=====

(4)
First-principles (PBE-GGA) data for a relaxed structure of Li6InPd12, as listed in Alexandria.

a = 7.185 Å, b = 7.185 Å, c = 7.185 Å
α = 107.18°, β = 107.18°, γ = 107.18°
Atoms (fractional coordinates):
Li (0.641, 0.764, 0.352)
Li (0.648, 0.359, 0.236)
Li (0.236, 0.648, 0.359)
Li (0.359, 0.236, 0.648)
Li (0.352, 0.641, 0.764)
Li (0.764, 0.352, 0.641)
In (0.000, 0.000, 0.000)
Pd (0.981, 0.687, 0.573)
Pd (0.573, 0.981, 0.687)
Pd (0.687, 0.573, 0.981)
Pd (0.019, 0.313, 0.427)
Pd (0.427, 0.019, 0.313)
Pd (0.313, 0.427, 0.019)
Pd (0.038, 0.902, 0.334)
Pd (0.098, 0.666, 0.962)
Pd (0.666, 0.962, 0.098)
Pd (0.962, 0.098, 0.666)
Pd (0.902, 0.334, 0.038)
Pd (0.334, 0.038, 0.902)

Computed properties:
**Offset from the most stable computed form**: 0.129 eV per atom
**E_form**: -0.230 eV/atom
**DOS at the Fermi energy**: 0.524 states/eV/atom

=====

(5)
First-principles (PBE-GGA) data for a relaxed structure of Li5InPd, as listed in Alexandria.

a = 9.013 Å, b = 5.295 Å, c = 5.816 Å
α = 117.08°, β = 140.80°, γ = 90.00°
Atoms (fractional coordinates):
Li (0.319, 0.243, 0.486)
Li (0.089, 0.500, 0.000)
Li (0.833, 0.757, 0.514)
Li (0.359, 0.226, 0.000)
Li (0.359, 0.774, 0.000)
In (0.754, 0.000, 0.000)
Pd (0.817, 0.500, 0.000)

Computed properties:
**E_form**: -0.194 eV/atom
**DOS at the Fermi energy**: 0.384 states/eV/atom

=====

(6)
First-principles (PBE-GGA) data for a relaxed structure of LiIn6Pd2, as listed in Alexandria.

a = 4.263 Å, b = 6.999 Å, c = 7.363 Å
α = 75.54°, β = 73.17°, γ = 72.27°
Atoms (fractional coordinates):
Li (0.000, 0.500, 0.500)
In (0.009, 0.155, 0.826)
In (0.264, 0.341, 0.130)
In (0.736, 0.659, 0.870)
In (0.316, 0.833, 0.535)
In (0.684, 0.167, 0.465)
In (0.991, 0.845, 0.174)
Pd (0.418, 0.433, 0.732)
Pd (0.582, 0.567, 0.268)

Computed properties:
**Offset from the most stable computed form**: 0.000 eV per atom
**E_form**: -0.307 eV/atom
**DOS at the Fermi energy**: 0.461 states/eV/atom

=====

(7)
First-principles (PBE-GGA) data for a relaxed structure of Li3In2Pd2, as listed in Alexandria.

a = 4.544 Å, b = 4.544 Å, c = 7.086 Å
α = 90.56°, β = 108.22°, γ = 119.82°
Atoms (fractional coordinates):
Li (0.000, 0.000, 0.000)
Li (0.712, 0.856, 0.568)
Li (0.288, 0.144, 0.432)
In (0.157, 0.579, 0.736)
In (0.843, 0.421, 0.264)
Pd (0.436, 0.717, 0.152)
Pd (0.564, 0.283, 0.848)

Computed properties:
**Offset from the most stable computed form**: 0.000 eV per atom
**E_form**: -0.497 eV/atom
**DOS at the Fermi energy**: 0.380 states/eV/atom

=====

(8)
First-principles (PBE-GGA) data for a relaxed structure of LiIn2Pd4, as listed in Alexandria.

a = 4.238 Å, b = 4.238 Å, c = 7.535 Å
α = 73.67°, β = 73.67°, γ = 90.00°
Atoms (fractional coordinates):
Li (0.000, 0.000, 0.000)
Pd (0.171, 0.171, 0.658)
Pd (0.829, 0.829, 0.342)
Pd (0.000, 0.500, 0.000)
Pd (0.500, 0.000, 0.000)
In (0.363, 0.363, 0.274)
In (0.637, 0.637, 0.726)

Computed properties:
**Offset from the most stable computed form**: 0.301 eV per atom
**E_form**: -0.144 eV/atom
**DOS at the Fermi energy**: 0.480 states/eV/atom

=====

(9)
First-principles (PBE-GGA) data for a relaxed structure of Li4In4Pd3, as listed in Alexandria.

a = 3.083 Å, b = 4.603 Å, c = 13.810 Å
α = 81.69°, β = 77.62°, γ = 88.91°
Atoms (fractional coordinates):
Li (0.249, 0.443, 0.081)
Li (0.751, 0.557, 0.919)
Li (0.367, 0.193, 0.629)
Li (0.633, 0.807, 0.371)
In (0.340, 0.895, 0.182)
In (0.934, 0.720, 0.571)
In (0.066, 0.280, 0.429)
In (0.660, 0.105, 0.818)
Pd (0.724, 0.361, 0.254)
Pd (0.276, 0.639, 0.746)
Pd (0.000, 0.000, 0.000)

Computed properties:
**E_form**: -0.417 eV/atom
**DOS at the Fermi energy**: 0.387 states/eV/atom

=====

(10)
First-principles (PBE-GGA) data for a relaxed structure of Li2InPd8, as listed in Alexandria.

a = 4.114 Å, b = 6.833 Å, c = 7.267 Å
α = 118.04°, β = 106.44°, γ = 90.00°
Atoms (fractional coordinates):
Li (0.199, 0.699, 0.399)
Li (0.801, 0.301, 0.601)
In (0.500, 0.000, 0.000)
Pd (0.659, 0.872, 0.319)
Pd (0.341, 0.554, 0.681)
Pd (0.152, 0.152, 0.303)
Pd (0.000, 0.306, 0.000)
Pd (0.848, 0.848, 0.697)
Pd (0.659, 0.446, 0.319)
Pd (0.341, 0.128, 0.681)
Pd (0.000, 0.694, 0.000)

Computed properties:
**Offset from the most stable computed form**: 0.073 eV per atom
**E_form**: -0.249 eV/atom
**DOS at the Fermi energy**: 0.933 states/eV/atom

=====

(11)
First-principles (PBE-GGA) data for a relaxed structure of Li2In2Pd3, as listed in Alexandria.

a = 3.013 Å, b = 6.904 Å, c = 6.301 Å
α = 110.52°, β = 103.83°, γ = 90.00°
Atoms (fractional coordinates):
Li (0.857, 0.586, 0.713)
Li (0.143, 0.414, 0.287)
In (0.584, 0.741, 0.169)
In (0.416, 0.259, 0.831)
Pd (0.000, 0.000, 0.000)
Pd (0.715, 0.169, 0.430)
Pd (0.285, 0.831, 0.570)

Computed properties:
**Offset from the most stable computed form**: 0.069 eV per atom
**E_form**: -0.416 eV/atom
**DOS at the Fermi energy**: 0.401 states/eV/atom

=====

(12)
First-principles (PBE-GGA) data for a relaxed structure of Li3In3Pd2, as listed in Alexandria.

a = 4.318 Å, b = 4.381 Å, c = 8.336 Å
α = 74.85°, β = 74.92°, γ = 89.69°
Atoms (fractional coordinates):
Li (0.859, 0.358, 0.282)
Li (0.141, 0.642, 0.718)
Li (0.000, 0.000, 0.000)
In (0.359, 0.858, 0.282)
In (0.500, 0.500, 0.000)
In (0.641, 0.142, 0.718)
Pd (0.753, 0.753, 0.494)
Pd (0.247, 0.247, 0.506)

Computed properties:
**Offset from the most stable computed form**: 0.075 eV per atom
**E_form**: -0.419 eV/atom
**DOS at the Fermi energy**: 0.330 states/eV/atom

=====

(13)
First-principles (PBE-GGA) data for a relaxed structure of Li4In2Pd, as listed in Alexandria.

a = 5.124 Å, b = 7.281 Å, c = 7.608 Å
α = 118.59°, β = 87.60°, γ = 90.00°
Atoms (fractional coordinates):
Li (0.768, 0.734, 0.184)
Li (0.732, 0.550, 0.816)
Li (0.232, 0.266, 0.816)
Li (0.268, 0.450, 0.184)
Li (0.018, 0.108, 0.206)
Li (0.482, 0.902, 0.794)
Li (0.982, 0.892, 0.794)
Li (0.518, 0.098, 0.206)
In (0.255, 0.882, 0.410)
In (0.245, 0.472, 0.590)
In (0.745, 0.118, 0.590)
In (0.755, 0.528, 0.410)
Pd (0.750, 0.290, 0.000)
Pd (0.250, 0.710, 0.000)

Computed properties:
**E_form**: -0.298 eV/atom
**DOS at the Fermi energy**: 0.456 states/eV/atom

=====

(14)
First-principles (PBE-GGA) data for a relaxed structure of Li2InPd3, as listed in Alexandria.

a = 3.538 Å, b = 4.202 Å, c = 6.530 Å
α = 108.77°, β = 90.00°, γ = 90.00°
Atoms (fractional coordinates):
Li (0.000, 0.331, 0.663)
Li (0.000, 0.669, 0.337)
In (0.000, 0.000, 0.000)
Pd (0.500, 0.500, 0.000)
Pd (0.500, 0.828, 0.656)
Pd (0.500, 0.172, 0.344)

Computed properties:
**Offset from the most stable computed form**: 0.016 eV per atom
**E_form**: -0.521 eV/atom
**DOS at the Fermi energy**: 0.278 states/eV/atom

=====

(15)
First-principles (PBE-GGA) data for a relaxed structure of LiIn4Pd7, as listed in Alexandria.

a = 4.729 Å, b = 8.624 Å, c = 6.161 Å
α = 80.14°, β = 67.43°, γ = 74.09°
Atoms (fractional coordinates):
Li (0.000, 0.000, 0.000)
In (0.584, 0.223, 0.609)
In (0.416, 0.777, 0.391)
In (0.732, 0.676, 0.859)
In (0.268, 0.324, 0.141)
Pd (0.790, 0.907, 0.514)
Pd (0.210, 0.093, 0.486)
Pd (0.077, 0.671, 0.175)
Pd (0.923, 0.329, 0.825)
Pd (0.363, 0.534, 0.739)
Pd (0.500, 0.000, 0.000)
Pd (0.637, 0.466, 0.261)

Computed properties:
**E_form**: -0.369 eV/atom
**DOS at the Fermi energy**: 0.394 states/eV/atom

=====

(16)
First-principles (PBE-GGA) data for a relaxed structure of Li6InPd12, as listed in Alexandria.

a = 6.780 Å, b = 7.320 Å, c = 7.320 Å
α = 69.08°, β = 72.02°, γ = 107.98°
Atoms (fractional coordinates):
Li (0.433, 0.486, 0.208)
Li (0.053, 0.694, 0.514)
Li (0.360, 0.792, 0.694)
Li (0.567, 0.514, 0.792)
Li (0.947, 0.306, 0.486)
Li (0.640, 0.208, 0.306)
In (0.000, 0.000, 0.000)
Pd (0.519, 0.838, 0.271)
Pd (0.682, 0.892, 0.838)
Pd (0.790, 0.271, 0.892)
Pd (0.481, 0.162, 0.729)
Pd (0.318, 0.108, 0.162)
Pd (0.210, 0.729, 0.108)
Pd (0.265, 0.431, 0.631)
Pd (0.104, 0.369, 0.062)
Pd (0.166, 0.062, 0.569)
Pd (0.735, 0.569, 0.369)
Pd (0.896, 0.631, 0.938)
Pd (0.834, 0.938, 0.431)

Computed properties:
**Offset from the most stable computed form**: 0.000 eV per atom
**E_form**: -0.359 eV/atom
**DOS at the Fermi energy**: 0.741 states/eV/atom

=====

(17)
First-principles (PBE-GGA) data for a relaxed structure of Li3In4Pd2, as listed in Alexandria.

a = 4.644 Å, b = 4.644 Å, c = 8.638 Å
α = 90.02°, β = 90.01°, γ = 59.99°
Atoms (fractional coordinates):
Li (0.333, 0.334, 0.460)
Li (0.000, 0.000, 0.000)
Li (0.667, 0.666, 0.540)
In (0.667, 0.667, 0.881)
In (0.000, 0.000, 0.329)
In (0.000, 0.000, 0.671)
In (0.333, 0.333, 0.119)
Pd (0.333, 0.333, 0.784)
Pd (0.667, 0.667, 0.216)

Computed properties:
**E_form**: -0.453 eV/atom
**DOS at the Fermi energy**: 0.389 states/eV/atom

=====

(18)
First-principles (PBE-GGA) data for a relaxed structure of LiIn2Pd9, as listed in Alexandria.

a = 4.022 Å, b = 4.022 Å, c = 11.780 Å
α = 90.00°, β = 90.00°, γ = 90.00°
Atoms (fractional coordinates):
Li (0.000, 0.000, 0.000)
In (0.000, 0.000, 0.329)
In (0.000, 0.000, 0.671)
Pd (0.500, 0.500, 0.000)
Pd (0.500, 0.500, 0.327)
Pd (0.500, 0.500, 0.673)
Pd (0.500, 0.000, 0.158)
Pd (0.500, 0.000, 0.500)
Pd (0.500, 0.000, 0.842)
Pd (0.000, 0.500, 0.158)
Pd (0.000, 0.500, 0.500)
Pd (0.000, 0.500, 0.842)

Computed properties:
**E_form**: -0.358 eV/atom
**DOS at the Fermi energy**: 1.163 states/eV/atom

=====

(19)
First-principles (PBE-GGA) data for a relaxed structure of LiInPd4, as listed in Alexandria.

a = 5.291 Å, b = 5.291 Å, c = 5.291 Å
α = 60.00°, β = 60.00°, γ = 60.00°
Atoms (fractional coordinates):
Li (0.000, 0.000, 0.000)
Pd (0.625, 0.625, 0.125)
Pd (0.625, 0.125, 0.625)
Pd (0.625, 0.625, 0.625)
Pd (0.125, 0.625, 0.625)
In (0.250, 0.250, 0.250)

Computed properties:
**Offset from the most stable computed form**: 0.189 eV per atom
**E_form**: -0.253 eV/atom
**DOS at the Fermi energy**: 0.975 states/eV/atom

=====

(20)
First-principles (PBE-GGA) data for a relaxed structure of Li5In8Pd, as listed in Alexandria.

a = 7.316 Å, b = 7.316 Å, c = 7.316 Å
α = 110.77°, β = 106.90°, γ = 110.77°
Atoms (fractional coordinates):
Li (0.943, 0.398, 0.119)
Li (0.881, 0.824, 0.279)
Li (0.721, 0.602, 0.545)
Li (0.500, 0.000, 0.500)
Li (0.455, 0.176, 0.057)
In (0.101, 0.754, 0.001)
In (0.999, 0.100, 0.753)
In (0.820, 0.233, 0.399)
In (0.601, 0.421, 0.834)
In (0.414, 0.579, 0.180)
In (0.653, 0.900, 0.899)
In (0.247, 0.246, 0.347)
In (0.166, 0.767, 0.586)
Pd (0.250, 0.500, 0.750)

Computed properties:
**E_form**: -0.221 eV/atom
**DOS at the Fermi energy**: 0.390 states/eV/atom

=====

(21)
First-principles (PBE-GGA) data for a relaxed structure of LiIn2Pd4, as listed in Alexandria.

a = 4.439 Å, b = 4.439 Å, c = 7.678 Å
α = 73.20°, β = 73.20°, γ = 60.00°
Atoms (fractional coordinates):
Li (0.000, 0.000, 0.000)
In (0.751, 0.751, 0.746)
In (0.249, 0.249, 0.254)
Pd (0.875, 0.875, 0.375)
Pd (0.125, 0.125, 0.625)
Pd (0.625, 0.625, 0.126)
Pd (0.375, 0.375, 0.874)

Computed properties:
**Offset from the most stable computed form**: 0.000 eV per atom
**E_form**: -0.445 eV/atom
**DOS at the Fermi energy**: 0.343 states/eV/atom

=====

(22)
First-principles (PBE-GGA) data for a relaxed structure of Li8In2Pd, as listed in Alexandria.

a = 3.037 Å, b = 7.370 Å, c = 9.842 Å
α = 67.78°, β = 81.20°, γ = 90.08°
Atoms (fractional coordinates):
Li (0.077, 0.599, 0.996)
Li (0.287, 0.027, 0.577)
Li (0.465, 0.667, 0.221)
Li (0.508, 0.197, 0.132)
Li (0.306, 0.457, 0.543)
Li (0.891, 0.882, 0.371)
Li (0.146, 0.294, 0.858)
Li (0.647, 0.957, 0.851)
In (0.907, 0.312, 0.337)
In (0.722, 0.660, 0.710)
Pd (0.039, 0.950, 0.070)

Computed properties:
**Offset from the most stable computed form**: 0.000 eV per atom
**E_form**: -0.225 eV/atom
**DOS at the Fermi energy**: 0.342 states/eV/atom